Entry from Alexandria: crystalline CrHgRu3 at its relaxed geometry (PBEsol).

ΔH_f (0 K): 1249 meV/atom
Total magnetization: 0.00 μB/f.u.
Calculated density: 11061 kg/m³

```
data_CrHgRu3
_chemical_formula_sum 'Cr1 Hg1 Ru3'
_symmetry_space_group_name_H-M 'P m -3 m'
_symmetry_Int_Tables_number 221
_symmetry_space_group_name_Hall '-P 4 2 3'
_cell_length_a 4.370
_cell_length_b 4.370
_cell_length_c 4.370
_cell_angle_alpha 90.00
_cell_angle_beta 90.00
_cell_angle_gamma 90.00
loop_
_atom_site_label
_atom_site_fract_x
_atom_site_fract_y
_atom_site_fract_z
Cr1 0.000 0.000 0.000
Hg1 0.500 0.500 0.500
Ru1 0.000 0.000 0.500
```